1.
Here is a geometry-optimized Rb2InI6O18 structure from Alexandria. Energies are from PBE.

a b c (Å): 7.8984 7.8987 7.8992
angles (deg): 97.52 97.61 97.53
Space group P-1 (No. 2)
One atom of each set of equivalent atoms:
Rb  0.1677  0.1675  0.1675
In  0.5000  0.5000  0.5000
I  0.1276  0.6989  0.3285
I  0.3011  0.6712  0.8724
I  0.3286  0.1276  0.6986
O  0.0874  0.6953  0.0950
O  0.0950  0.0876  0.6944
O  0.1043  0.6035  0.7131
O  0.2818  0.5403  0.3199
O  0.2869  0.8955  0.3962
O  0.3048  0.9048  0.9122
O  0.3201  0.2816  0.5399
O  0.3960  0.2868  0.8953
O  0.4596  0.6797  0.7184

Results
Fermi-level density of states   0.702 states/eV per atom
ΔE_f (raw)   -630 meV per atom



2.
Here is a geometry-optimized LiLaPdPt structure from Alexandria. Energies are from PBE.

a b c (Å): 7.5977 4.3809 5.5146
angles (deg): 90.00 117.22 90.00
Space group Cm (No. 8)
One atom of each set of equivalent atoms:
Li  0.0000  0.0000  0.0000
La  0.0064  0.5000  0.5188
Pd  0.2185  0.5000  0.1557
Pt  0.2891  0.0000  0.8671

Results
E_form   -0.786 eV per atom
Fermi-level density of states   0.306 states/eV per atom



3.
Here is a geometry-optimized Tb2Pm5PrSm structure from Alexandria. Energies are from PBE.

a b c (Å): 5.7244 20.3820 10.6825
angles (deg): 90.00 90.00 90.00
Space group Cmc2_1 (No. 36)
One atom of each set of equivalent atoms:
Tb  0.0000  0.1130  0.0000
Tb  0.0000  0.1165  0.5899
Pm  0.0000  0.0165  0.2914
Pm  0.0000  0.2802  0.5794
Pm  0.0000  0.2971  0.9742
Pm  0.0000  0.3899  0.2926
Pm  0.0000  0.4781  0.0072
Pr  0.0000  0.4139  0.7182
Sm  0.0000  0.2007  0.2787

Results
E_form   0.146 eV per atom
Fermi-level density of states   1.549 states/eV per atom



4.
Here is a geometry-optimized Na3TeH structure from Alexandria. Energies are from PBE.

a b c (Å): 5.9101 5.9101 14.6944
angles (deg): 90.00 90.00 90.00
Space group I-4m2 (No. 119)
One atom of each set of equivalent atoms:
Na  0.0000  0.0000  0.1987
Na  0.0000  0.2560  0.5885
Te  0.0000  0.5000  0.1104
H  0.0000  0.0000  0.5000
H  0.0000  0.5000  0.7500

Results
Distance to the lowest polymorph of the same formula   132.0 kJ/mol of formula units
Fermi-level density of states   0.000 states/eV per atom



5.
Here is a geometry-optimized CaZn2Ni structure from Alexandria. Energies are from PBE.

a b c (Å): 4.6093 4.6093 6.5011
angles (deg): 90.00 90.00 90.00
Space group I-4m2 (No. 119)
One atom of each set of equivalent atoms:
Ca  0.0000  0.0000  0.0000
Zn  0.0000  0.0000  0.5000
Zn  0.0000  0.5000  0.2500
Ni  0.0000  0.5000  0.7500

Results
E_form   -0.034 eV per atom
Fermi-level density of states   0.663 states/eV per atom



6.
Here is a geometry-optimized GdPdPt4 structure from Alexandria. Energies are from PBE.

a b c (Å): 7.5529 7.5529 7.5529
angles (deg): 90.00 90.00 90.00
Space group F-43m (No. 216)
One atom of each set of equivalent atoms:
Gd  0.0000  0.0000  0.0000
Pd  0.2500  0.2500  0.7500
Pt  0.1247  0.1247  0.3753

Results
E_form   -0.685 eV per atom
Fermi-level density of states   0.689 states/eV per atom



7.
Here is a geometry-optimized Si2Rh3 structure from Alexandria. Energies are from PBE.

a b c (Å): 10.2965 11.5530 4.6598
angles (deg): 90.00 90.00 90.00
Space group Fdd2 (No. 43)
One atom of each set of equivalent atoms:
Si  0.0572  0.2039  0.0000
Rh  0.0000  0.0000  0.0095
Rh  0.0613  0.1167  0.5066

Results
Distance to the lowest polymorph of the same formula   126.4 kJ/mol of formula units
Fermi-level density of states   0.532 states/eV per atom
ΔE_f (raw)   -555 meV per atom



8.
Here is a geometry-optimized Pm7Ho2In2 structure from Alexandria. Energies are from PBE.

a b c (Å): 3.6761 17.6585 11.2392
angles (deg): 90.00 90.00 90.00
Space group Imm2 (No. 44)
One atom of each set of equivalent atoms:
Pm  0.0000  0.0000  0.0000
Pm  0.0000  0.1052  0.5627
Pm  0.0000  0.3229  0.3125
Pm  0.0000  0.3497  0.7862
Ho  0.0000  0.2244  0.0513
In  0.0000  0.0000  0.3058
In  0.0000  0.5000  0.2568

Results
E_form   -0.039 eV per atom
Fermi-level density of states   1.228 states/eV per atom



9.
Here is a geometry-optimized AcPd12Pb6 structure from Alexandria. Energies are from PBE.

a b c (Å): 12.1870 12.1870 9.4070
angles (deg): 90.00 90.00 120.00
Space group R-3m (No. 166, hexagonal axes)
One atom of each set of equivalent atoms:
Ac  0.0000  0.0000  0.0000
Pd  0.0000  0.3868  0.5000
Pd  0.0810  0.1619  0.2764
Pb  0.0556  0.5278  0.2504

Results
E_form   -0.233 eV per atom
Fermi-level density of states   0.432 states/eV per atom



10.
Here is a geometry-optimized LiMn2AgBr6 structure from Alexandria. Energies are from PBE.

a b c (Å): 6.9199 6.9199 18.6559
angles (deg): 90.00 90.00 120.00
Space group R3 (No. 146, hexagonal axes)
One atom of each set of equivalent atoms:
Li  0.0000  0.0000  0.0000
Mn  0.0000  0.0000  0.3155
Mn  0.0000  0.0000  0.8075
Ag  0.0000  0.0000  0.5153
Br  0.0067  0.6529  0.0679
Br  0.0122  0.3766  0.5703

Results
Fermi-level density of states   0.000 states/eV per atom
ΔE_f (raw)   -790 meV per atom



11.
Here is a geometry-optimized Nd2Al2Br structure from Alexandria. Energies are from PBE.

a b c (Å): 4.3162 4.3162 24.6660
angles (deg): 90.00 90.00 120.00
Space group R-3m (No. 166, hexagonal axes)
One atom of each set of equivalent atoms:
Nd  0.0000  0.0000  0.0830
Al  0.0000  0.0000  0.3278
Br  0.0000  0.0000  0.5000

Results
Fermi-level density of states   0.413 states/eV per atom
ΔE_f (raw)   -819 meV per atom



12.
Here is a geometry-optimized PaHPt2 structure from Alexandria. Energies are from PBE.

a b c (Å): 3.0650 3.0650 23.1726
angles (deg): 90.00 90.00 120.00
Space group R-3m (No. 166, hexagonal axes)
One atom of each set of equivalent atoms:
Pa  0.0000  0.0000  0.0000
H  0.0000  0.0000  0.5000
Pt  0.0000  0.0000  0.1120

Results
Final energy   -6.1092 eV/atom
Fermi-level density of states   0.728 states/eV per atom